[1]
Here is crystalline ErPbS2O8 at its relaxed geometry from the Alexandria database. Energies are from PBE.

Results
Space group = C2/m, No. 12
DOS(E_F) = 3.15 states/eV/cell
Raw formation energy = -1.76 eV/atom
Total magnetization = 1.01 μB/cell

a b c (Å): 5.4108 5.4108 8.9015
angles (deg): 96.36 96.36 60.80
Last column: nearest neighbours and their distance in Å.
Element x y z (fractional)
1 Er 0.0000 0.0000 0.0000  6 O 2.20-2.23
2 Pb 0.0000 0.0000 0.5000  2 O 2.57
3 S 0.6820 0.6820 0.2054  4 O 1.47-1.49
4 S 0.3180 0.3180 0.7946  4 O 1.47-1.49
5 O 0.6301 0.1887 0.8322  1 S 1.49
6 O 0.8017 0.8017 0.1094  1 S 1.49
7 O 0.7385 0.7385 0.3670  1 S 1.47
8 O 0.2615 0.2615 0.6330  1 S 1.47
9 O 0.1983 0.1983 0.8906  1 S 1.49
10 O 0.1887 0.6301 0.8322  1 S 1.49
11 O 0.8113 0.3699 0.1678  1 S 1.49
12 O 0.3699 0.8113 0.1678  1 S 1.49

=====

[2]
Here is crystalline ErSbPb2O6 at its relaxed geometry from the Alexandria database. Energies are from PBE.

Results
Space group = P2_1/c, No. 14
DOS(E_F) = 0.00 states/eV/cell
Raw formation energy = -1.90 eV/atom
Total magnetization = 0.00 μB/cell

a b c (Å): 5.9018 5.9054 8.3467
angles (deg): 90.00 90.10 90.00
Last column: nearest neighbours and their distance in Å.
Element x y z (fractional)
1 Er 0.5000 0.0000 0.0000  6 O 2.23-2.24
2 Er 0.0000 0.5000 0.5000  6 O 2.23-2.24
3 Sb 0.5000 0.0000 0.5000  6 O 2.02
4 Sb 0.0000 0.5000 0.0000  6 O 2.02
5 Pb 0.0055 0.9777 0.2471  5 O 2.57-2.84
6 Pb 0.5055 0.5223 0.7471  5 O 2.57-2.84
7 Pb 0.9945 0.0223 0.7529  5 O 2.57-2.84
8 Pb 0.4945 0.4777 0.2529  5 O 2.57-2.84
9 O 0.2683 0.7056 0.0375  1 Sb 2.02, 1 Er 2.23
10 O 0.7683 0.7944 0.5375  1 Sb 2.02, 1 Er 2.23
11 O 0.7317 0.2944 0.9625  1 Sb 2.02, 1 Er 2.23
12 O 0.2317 0.2056 0.4625  1 Sb 2.02, 1 Er 2.23
13 O 0.3000 0.7269 0.4651  1 Sb 2.02, 1 Er 2.24
14 O 0.8000 0.7731 0.9651  1 Sb 2.02, 1 Er 2.24
15 O 0.7000 0.2731 0.5349  1 Sb 2.02, 1 Er 2.24
16 O 0.2000 0.2269 0.0349  1 Sb 2.02, 1 Er 2.24
17 O 0.9306 0.5115 0.2367  1 Sb 2.02, 1 Er 2.24
18 O 0.4306 0.9885 0.7367  1 Sb 2.02, 1 Er 2.24
19 O 0.0694 0.4885 0.7633  1 Sb 2.02, 1 Er 2.24
20 O 0.5694 0.0115 0.2633  1 Sb 2.02, 1 Er 2.24

=====

[3]
Here is crystalline ErScPbO2 at its relaxed geometry from the Alexandria database. Energies are from PBE.

Results
Space group = I4mm, No. 107
DOS(E_F) = 1.45 states/eV/cell
Raw formation energy = -2.50 eV/atom
Total magnetization = 0.00 μB/cell

a b c (Å): 3.7258 3.7258 7.3817
angles (deg): 104.62 104.62 90.00
Last column: nearest neighbours and their distance in Å.
Element x y z (fractional)
1 Er 0.8289 0.8289 0.6579  4 O 2.19
2 Sc 0.1763 0.1763 0.3527  4 O 2.09
3 Pb 0.5045 0.5045 0.0090  4 Sc 3.54, 4 Er 3.58, 4 Pb 3.73, 4 O 3.81
4 O 0.7451 0.2451 0.4902  2 Sc 2.09, 2 Er 2.19
5 O 0.2451 0.7451 0.4902  2 Sc 2.09, 2 Er 2.19

=====

[4]
Here is crystalline Er2Sc2Pb2O at its relaxed geometry from the Alexandria database. Energies are from PBE.

Results
Space group = I4/mmm, No. 139
DOS(E_F) = 6.79 states/eV/cell
Raw formation energy = -1.20 eV/atom
Total magnetization = 0.64 μB/cell

a b c (Å): 4.3971 4.3971 8.7378
angles (deg): 104.57 104.57 90.00
Last column: nearest neighbours and their distance in Å.
Element x y z (fractional)
1 Er 0.1690 0.1690 0.3379  1 O 2.76
2 Er 0.8310 0.8310 0.6621  1 O 2.76
3 Sc 0.0000 0.5000 0.0000  2 O 2.20
4 Sc 0.5000 0.0000 0.0000  2 O 2.20
5 Pb 0.3630 0.3630 0.7259  4 Sc 3.14, 5 Er 3.15-3.17
6 Pb 0.6370 0.6370 0.2741  4 Sc 3.14, 5 Er 3.15-3.17
7 O 0.0000 0.0000 0.0000  4 Sc 2.20

=====

Q: total magnetization of number 3 (ErScPbO2)?
A: 0.00 μB/cell

=====

Q: The highest DOS(E_F) belongs to which entry?
A: Er2Sc2Pb2O

=====

Q: Look up the total magnetization of the first one.
A: 1.01 μB/cell

=====

Q: Among the records above, which one has the highest total magnetization?
A: ErPbS2O8